(1)
The following is a DFT calculation (PBE) of K3VCr2Se6 after structural relaxation.

Calculated values
DOS at the Fermi energy, states/eV/atom: 0.724
Space-group type: C2/m (12)
V, Å³/atom: 24.028
Spin magnetization, μB/f.u.: 8.0
Total energy, eV/atom: -5.219

abc: 6.698 6.698 7.753
angles: 98.29 98.29 120.04
Element x y z (fractional)
K  0.000  0.000  0.000
K  0.334  0.666  0.000
K  0.666  0.334  0.000
V  0.500  0.500  0.500
Cr  0.167  0.833  0.500
Cr  0.833  0.167  0.500
Se  0.105  0.440  0.320
Se  0.225  0.225  0.680
Se  0.440  0.105  0.320
Se  0.560  0.895  0.680
Se  0.775  0.775  0.320
Se  0.895  0.560  0.680

(2)
The following is a DFT calculation (PBE) of KVCrSe4 after structural relaxation.

Calculated values
DOS at the Fermi energy, states/eV/atom: 0.266
Space-group type: P2_1/m (11)
V, Å³/atom: 26.819
Spin magnetization, μB/f.u.: 4.0
Total energy, eV/atom: -5.484

abc: 6.138 7.204 8.547
angles: 90.00 96.55 90.00
Element x y z (fractional)
K  0.202  0.250  0.060
K  0.798  0.750  0.940
V  0.357  0.250  0.659
V  0.643  0.750  0.341
Cr  0.156  0.750  0.453
Cr  0.844  0.250  0.547
Se  0.112  0.002  0.684
Se  0.112  0.498  0.684
Se  0.320  0.750  0.173
Se  0.459  0.250  0.412
Se  0.541  0.750  0.588
Se  0.680  0.250  0.827
Se  0.888  0.502  0.316
Se  0.888  0.998  0.316

(3)
The following is a DFT calculation (PBE) of K2YCrSe4 after structural relaxation.

Calculated values
Space-group type: P2/m (10)
V, Å³/atom: 26.893
Spin magnetization, μB/f.u.: 3.0
Total energy, eV/atom: -5.271

abc: 6.966 4.050 7.984
angles: 90.00 107.25 90.00
Element x y z (fractional)
K  0.000  0.000  0.000
K  0.500  0.500  0.000
Y  0.000  0.500  0.500
Cr  0.500  0.000  0.500
Se  0.256  0.000  0.700
Se  0.295  0.500  0.314
Se  0.705  0.500  0.686
Se  0.744  0.000  0.300

(4)
The following is a DFT calculation (PBE) of KZnCrSe3 after structural relaxation.

Calculated values
Space-group type: P2_1/m (11)
V, Å³/atom: 25.195
Spin magnetization, μB/f.u.: 3.0
Total energy, eV/atom: -4.518

abc: 8.560 3.902 9.702
angles: 90.00 111.09 90.00
Element x y z (fractional)
K  0.217  0.250  0.242
K  0.783  0.750  0.758
Zn  0.085  0.250  0.609
Zn  0.915  0.750  0.391
Cr  0.335  0.750  0.860
Cr  0.665  0.250  0.140
Se  0.132  0.250  0.869
Se  0.232  0.750  0.553
Se  0.470  0.750  0.136
Se  0.530  0.250  0.864
Se  0.768  0.250  0.447
Se  0.868  0.750  0.131

(5)
The following is a DFT calculation (PBE) of K3ZrCr2Se6 after structural relaxation.

Calculated values
DOS at the Fermi energy, states/eV/atom: 0.467
Space-group type: C2/m (12)
V, Å³/atom: 25.363
Spin magnetization, μB/f.u.: 7.0
Total energy, eV/atom: -5.311

abc: 6.822 6.822 7.886
angles: 98.29 98.29 119.98
Element x y z (fractional)
K  0.000  0.000  0.000
K  0.336  0.664  0.000
K  0.664  0.336  0.000
Zr  0.500  0.500  0.500
Cr  0.167  0.833  0.500
Cr  0.833  0.167  0.500
Se  0.095  0.437  0.312
Se  0.219  0.219  0.687
Se  0.437  0.095  0.312
Se  0.563  0.905  0.688
Se  0.781  0.781  0.313
Se  0.905  0.563  0.688

(6)
The following is a DFT calculation (PBE) of K2Zr2CrSe6 after structural relaxation.

Calculated values
DOS at the Fermi energy, states/eV/atom: 0.478
Space-group type: C2/m (12)
V, Å³/atom: 27.347
Spin magnetization, μB/f.u.: 3.0
Total energy, eV/atom: -5.712

abc: 6.613 6.613 8.255
angles: 98.04 98.04 119.81
Element x y z (fractional)
K  0.170  0.830  0.000
K  0.830  0.170  0.000
Zr  0.331  0.669  0.500
Zr  0.669  0.331  0.500
Cr  0.000  0.000  0.500
Se  0.072  0.389  0.695
Se  0.254  0.254  0.309
Se  0.389  0.072  0.695
Se  0.611  0.928  0.305
Se  0.746  0.746  0.691
Se  0.928  0.611  0.305

(7)
The following is a DFT calculation (PBE) of K2ZrCrSe4 after structural relaxation.

Calculated values
DOS at the Fermi energy, states/eV/atom: 0.183
Space-group type: I-4 (82)
V, Å³/atom: 31.405
Spin magnetization, μB/f.u.: 4.0
Total energy, eV/atom: -5.286

abc: 7.643 7.643 8.602
angles: 90.00 90.00 90.00
Element x y z (fractional)
K  0.000  0.000  0.000
K  0.000  0.500  0.250
K  0.500  0.000  0.750
K  0.500  0.500  0.500
Zr  0.000  0.000  0.500
Zr  0.500  0.500  0.000
Cr  0.000  0.500  0.750
Cr  0.500  0.000  0.250
Se  0.162  0.233  0.659
Se  0.233  0.838  0.341
Se  0.267  0.662  0.841
Se  0.338  0.267  0.159
Se  0.662  0.733  0.159
Se  0.733  0.338  0.841
Se  0.767  0.162  0.341
Se  0.838  0.767  0.659

(8)
The following is a DFT calculation (PBE) of K2CrSi after structural relaxation.

Calculated values
DOS at the Fermi energy, states/eV/atom: 0.649
Space-group type: Immm (71)
V, Å³/atom: 26.685
Spin magnetization, μB/f.u.: 4.2
Total energy, eV/atom: -3.489

abc: 4.386 4.422 11.007
angles: 90.00 90.00 90.00
Element x y z (fractional)
K  0.000  0.000  0.249
K  0.000  0.000  0.751
K  0.500  0.500  0.251
K  0.500  0.500  0.749
Cr  0.000  0.500  0.000
Cr  0.500  0.000  0.500
Si  0.000  0.500  0.500
Si  0.500  0.000  0.000

(9)
The following is a DFT calculation (PBE) of K2CrSi after structural relaxation.

Calculated values
DOS at the Fermi energy, states/eV/atom: 0.552
Space-group type: Cm (8)
V, Å³/atom: 37.910
Spin magnetization, μB/f.u.: 3.3
Total energy, eV/atom: -3.985

abc: 7.466 4.311 9.695
angles: 90.00 103.60 90.00
Element x y z (fractional)
K  0.000  0.000  0.000
K  0.161  0.000  0.530
K  0.500  0.500  0.000
K  0.661  0.500  0.530
Cr  0.414  0.000  0.265
Cr  0.914  0.500  0.265
Si  0.247  0.500  0.265
Si  0.747  0.000  0.265

(10)
The following is a DFT calculation (PBE) of KCr3Si after structural relaxation.

Calculated values
DOS at the Fermi energy, states/eV/atom: 0.847
Space-group type: Pm-3m (221)
V, Å³/atom: 15.250
Spin magnetization, μB/f.u.: 4.6
Offset from the most stable computed form, meV per atom: 1836

abc: 4.240 4.240 4.240
angles: 90.00 90.00 90.00
Element x y z (fractional)
K  0.000  0.000  0.000
Cr  0.000  0.000  0.500
Cr  0.000  0.500  0.000
Cr  0.500  0.000  0.000
Si  0.500  0.500  0.500

(11)
The following is a DFT calculation (PBE) of K2CrSi after structural relaxation.

Calculated values
DOS at the Fermi energy, states/eV/atom: 0.271
Space-group type: Imm2 (44)
V, Å³/atom: 33.453
Spin magnetization, μB/f.u.: 4.0
Total energy, eV/atom: -3.881

abc: 4.347 5.941 10.362
angles: 90.00 90.00 90.00
Element x y z (fractional)
K  0.000  0.000  0.000
K  0.000  0.500  0.186
K  0.500  0.000  0.686
K  0.500  0.500  0.500
Cr  0.000  0.000  0.381
Cr  0.500  0.500  0.881
Si  0.000  0.500  0.784
Si  0.500  0.000  0.284

(12)
The following is a DFT calculation (PBE) of K2CrSi after structural relaxation.

Calculated values
DOS at the Fermi energy, states/eV/atom: 0.799
Space-group type: P4/mmm (123)
V, Å³/atom: 29.919
Spin magnetization, μB/f.u.: 4.8
Total energy, eV/atom: -3.382

abc: 3.305 3.305 10.958
angles: 90.00 90.00 90.00
Element x y z (fractional)
K  0.000  0.000  0.227
K  0.000  0.000  0.773
Cr  0.500  0.500  0.500
Si  0.500  0.500  0.000